A relaxed Ag2MoF5 crystal. Source: Alexandria, functional GGA+U.

```
16
Lattice="2.1191 -6.1058 0.0000 2.1191 6.1058 0.0000 0.0000 0.0000 11.7129" Properties=species:S:1:pos:R:3 pbc="T T T"
Ag 2.1191 4.4119 6.6465
Ag 2.1191 4.4119 10.9228
Ag 2.1191 -4.4119 0.7901
Ag 2.1191 -4.4119 5.0664
Mo 2.1191 4.0999 2.9282
Mo 2.1191 -4.0999 8.7847
F 2.1191 5.5058 1.4002
F 2.1191 5.5058 4.4562
F 2.1191 2.6622 1.3734
F 2.1191 2.6622 4.4831
F 2.1191 2.1642 8.7847
F 2.1191 -2.1642 2.9282
F 2.1191 -2.6622 7.2298
F 2.1191 -2.6622 10.3395
F 2.1191 -5.5058 7.2567
F 2.1191 -5.5058 10.3127
```

Summary:
Total energy ... -72.70 eV per cell
Space group ... Cmcm